1.
An optimized crystal structure of KNaDy2F8, computed with PBE.

Unit cell a=3.866 b=5.920 c=7.709 alpha=90.00 beta=90.00 gamma=90.00
Atoms (fractional coordinates):
1 K 0.000 0.000 0.000
2 Na 0.000 0.000 0.500
3 Dy 0.500 0.500 0.254
4 Dy 0.500 0.500 0.746
5 F 0.000 0.286 0.260
6 F 0.000 0.286 0.740
7 F 0.000 0.714 0.260
8 F 0.000 0.714 0.740
9 F 0.500 0.278 0.500
10 F 0.500 0.292 0.000
11 F 0.500 0.708 0.000
12 F 0.500 0.722 0.500

Values from the calculation:
As for the space group: No. 47. The calculation puts the uncorrected formation energy at -3.703 eV per atom.


2.
An optimized crystal structure of KNaDyF5, computed with PBE.

Unit cell a=6.467 b=6.467 c=8.298 alpha=100.89 beta=100.89 gamma=111.49
Atoms (fractional coordinates):
1 K 0.160 0.840 0.750
2 K 0.840 0.160 0.250
3 Na 0.181 0.819 0.250
4 Na 0.819 0.181 0.750
5 Dy 0.500 0.500 0.000
6 Dy 0.500 0.500 0.500
7 F 0.143 0.247 0.935
8 F 0.210 0.578 0.397
9 F 0.247 0.143 0.435
10 F 0.422 0.790 0.103
11 F 0.425 0.575 0.750
12 F 0.575 0.425 0.250
13 F 0.578 0.210 0.897
14 F 0.753 0.857 0.565
15 F 0.790 0.422 0.603
16 F 0.857 0.753 0.065

Values from the calculation:
As for the space group: No. 15. The calculation puts the uncorrected formation energy at -3.448 eV per atom.


3.
An optimized crystal structure of KNa2DyF6, computed with PBE.

Unit cell a=6.375 b=6.375 c=6.375 alpha=56.27 beta=56.27 gamma=56.27
Atoms (fractional coordinates):
1 K 0.000 0.000 0.000
2 Na 0.279 0.279 0.279
3 Na 0.788 0.788 0.788
4 Dy 0.486 0.486 0.486
5 F 0.102 0.639 0.439
6 F 0.213 0.559 0.866
7 F 0.439 0.102 0.639
8 F 0.559 0.866 0.213
9 F 0.639 0.439 0.102
10 F 0.866 0.213 0.559

Values from the calculation:
As for the space group: No. 146. The calculation puts the uncorrected formation energy at -3.314 eV per atom.


Which formula does entry 2 have? KNaDyF5